(1)
Material: HoZr2Sb2
Method: DFT, PBE
State: relaxed

The structure in POSCAR format:
```
HoZr2Sb2
1.0
7.466 0.560 0.962
-2.005 7.213 0.962
-2.263 -3.222 4.129
Ho Zr Sb
2 4 4
direct
0.905 0.595 0.750 Ho
0.095 0.405 0.250 Ho
0.227 0.912 0.531 Zr
0.412 0.727 0.031 Zr
0.773 0.088 0.469 Zr
0.588 0.273 0.969 Zr
0.188 0.312 0.750 Sb
0.372 0.128 0.250 Sb
0.628 0.872 0.750 Sb
0.812 0.688 0.250 Sb
```

For the energy relative to the elements, uncorrected, the calculation gives -462 meV per atom. As for the symmetry: C2/c.

***

(2)
Material: Ho3Sc
Method: DFT, PBE
State: relaxed

The structure in POSCAR format:
```
Ho3Sc
1.0
7.049 0.000 0.000
-3.525 6.105 0.000
0.000 0.000 5.495
Ho Sc
6 2
direct
0.169 0.338 0.250 Ho
0.662 0.831 0.250 Ho
0.169 0.831 0.250 Ho
0.831 0.662 0.750 Ho
0.338 0.169 0.750 Ho
0.831 0.169 0.750 Ho
0.333 0.667 0.750 Sc
0.667 0.333 0.250 Sc
```

As for the symmetry: P6_3/mmc. The calculation puts the calculated formation energy at 0.015 eV/atom.

***

(3)
Material: HoSc7
Method: DFT, PBE
State: relaxed

The structure in POSCAR format:
```
HoSc7
1.0
-4.119 5.130 0.230
-5.188 0.239 -4.045
-6.082 -0.767 2.399
Ho Sc
1 7
direct
0.000 0.000 0.000 Ho
0.500 0.500 0.000 Sc
0.500 0.000 0.500 Sc
0.000 0.500 0.500 Sc
0.500 0.000 0.000 Sc
0.000 0.500 0.000 Sc
0.000 0.000 0.500 Sc
0.500 0.500 0.500 Sc
```

As for the symmetry: Fm-3m. The calculation puts the calculated formation energy at 0.055 eV/atom.

***

(4)
Material: Ho7Sc5
Method: DFT, PBE
State: relaxed

The structure in POSCAR format:
```
Ho7Sc5
1.0
-4.043 -0.849 2.497
-4.941 -3.605 -4.560
0.569 -10.000 2.189
Ho Sc
7 5
direct
0.999 0.006 0.997 Ho
0.415 0.923 0.246 Ho
0.832 0.834 0.502 Ho
0.249 0.746 0.756 Ho
0.090 0.578 0.243 Ho
0.501 0.495 0.503 Ho
0.165 0.166 0.505 Ho
0.671 0.661 0.997 Sc
0.916 0.413 0.755 Sc
0.333 0.337 0.997 Sc
0.751 0.254 0.243 Sc
0.578 0.086 0.757 Sc
```

As for the symmetry: Cm. The calculation puts the calculated formation energy at 0.051 eV/atom.

***

(5)
Material: Ho3Sc8
Method: DFT, PBE
State: relaxed

The structure in POSCAR format:
```
Ho3Sc8
1.0
6.786 -0.321 -0.313
-0.149 6.792 -0.313
-0.149 -0.145 6.797
Ho Sc
3 8
direct
0.500 0.000 0.500 Ho
0.000 0.500 0.500 Ho
0.500 0.500 0.000 Ho
0.940 0.306 0.090 Sc
0.306 0.090 0.940 Sc
0.090 0.940 0.306 Sc
0.351 0.351 0.351 Sc
0.649 0.649 0.649 Sc
0.910 0.060 0.694 Sc
0.694 0.910 0.060 Sc
0.060 0.694 0.910 Sc
```

As for the symmetry: R-3. The calculation puts the calculated formation energy at 0.608 eV/atom.

***

(6)
Material: Ho4Sc5
Method: DFT, PBE
State: relaxed

The structure in POSCAR format:
```
Ho4Sc5
1.0
6.634 0.000 0.000
0.000 9.227 0.000
0.000 -4.614 7.991
Ho Sc
8 10
direct
0.000 0.000 0.000 Ho
0.500 0.000 0.000 Ho
0.750 0.362 0.362 Ho
0.750 0.000 0.638 Ho
0.750 0.638 0.000 Ho
0.250 0.638 0.638 Ho
0.250 0.000 0.362 Ho
0.250 0.362 0.000 Ho
0.750 0.689 0.689 Sc
0.750 0.000 0.311 Sc
0.750 0.311 0.000 Sc
0.250 0.311 0.311 Sc
0.250 0.000 0.689 Sc
0.250 0.689 0.000 Sc
0.000 0.667 0.333 Sc
0.500 0.333 0.667 Sc
0.000 0.333 0.667 Sc
0.500 0.667 0.333 Sc
```

As for the symmetry: P6_3/mcm. The calculation puts the calculated formation energy at 0.071 eV/atom.

***

(7)
Material: Ho3Sc
Method: DFT, PBE
State: relaxed

The structure in POSCAR format:
```
Ho3Sc
1.0
4.907 0.000 0.000
0.000 4.907 0.000
-2.454 -2.454 4.858
Sc Ho
1 3
direct
0.000 0.000 0.000 Sc
0.750 0.250 0.500 Ho
0.250 0.750 0.500 Ho
0.500 0.500 0.000 Ho
```

As for the symmetry: I4/mmm. The calculation puts the calculated formation energy at 0.042 eV/atom.

***

(8)
Material: HoSc6
Method: DFT, PBE
State: relaxed

The structure in POSCAR format:
```
HoSc6
1.0
-5.027 1.155 3.151
-2.133 -5.480 -1.394
4.337 -3.803 8.313
Ho Sc
2 12
direct
0.500 0.000 0.000 Ho
0.000 0.500 0.000 Ho
0.500 0.500 0.143 Sc
0.000 0.000 0.143 Sc
0.000 0.000 0.857 Sc
0.500 0.500 0.857 Sc
0.832 0.668 0.363 Sc
0.332 0.832 0.363 Sc
0.668 0.168 0.363 Sc
0.168 0.332 0.363 Sc
0.668 0.832 0.637 Sc
0.168 0.668 0.637 Sc
0.832 0.332 0.637 Sc
0.332 0.168 0.637 Sc
```

As for the symmetry: P4/nbm. The calculation puts the calculated formation energy at 0.244 eV/atom.